Crystalline PaAg2IO8 at its relaxed geometry, computed with PBE.

Properties
Formation energy from raw total energies = -12.49 eV per formula unit
SG = No. 10

Unit cell a=5.2772 b=5.2888 c=6.6832 alpha=90.00 beta=90.00 gamma=100.72
Closest atoms and distances in Å follow each position.
Positions (direct):
O1 0.1575 0.8412 0.7857  1 I 1.93
O2 0.8425 0.1588 0.2143  1 I 1.93
O3 0.7068 0.7091 0.0000  1 I 1.97, 2 Ag 2.15
O4 0.3073 0.3037 0.5000  1 Pa 2.06, 2 Ag 2.15
O5 0.1575 0.8412 0.2143  1 I 1.93
O6 0.2932 0.2909 0.0000  1 I 1.97, 2 Ag 2.15
I1 0.0000 0.0000 0.0000  6 O 1.93-1.97
Pa1 0.0000 0.0000 0.5000  6 O 2.06-2.30
Ag1 0.5000 0.5000 0.2447  4 O 2.15
O7 0.8425 0.1588 0.7857  1 I 1.93
O8 0.6927 0.6963 0.5000  1 Pa 2.06, 2 Ag 2.15
Ag2 0.5000 0.5000 0.7553  4 O 2.15